(1)
Material: Cr2RhCl
Method: DFT, GGA-PBE
State: relaxed

The structure in CIF format:
```
data_Cr2RhCl
_cell_length_a 3.054
_cell_length_b 3.054
_cell_length_c 6.954
_cell_angle_alpha 90.00
_cell_angle_beta 90.00
_cell_angle_gamma 90.23
_symmetry_space_group_name_H-M 'P 1'
_symmetry_Int_Tables_number 1
loop_
_symmetry_equiv_pos_as_xyz
'x,y,z'
loop_
_atom_site_label
_atom_site_fract_x
_atom_site_fract_y
_atom_site_fract_z
Cr1 0.000 0.000 0.223
Cr2 0.000 0.000 0.777
Rh1 0.500 0.500 0.000
Cl1 0.500 0.500 0.500
```

Output
**Symmetry**: Cmmm
**Formation energy (no corrections)**: 0.8 eV/f.u.
**E above lowest polymorph**: 97 meV/atom

(2)
Material: Pm4Al2In5
Method: DFT, GGA-PBE
State: relaxed

The structure in CIF format:
```
data_Pm4Al2In5
_cell_length_a 7.910
_cell_length_b 3.648
_cell_length_c 10.088
_cell_angle_alpha 90.00
_cell_angle_beta 94.28
_cell_angle_gamma 90.00
_symmetry_space_group_name_H-M 'P 1'
_symmetry_Int_Tables_number 1
loop_
_symmetry_equiv_pos_as_xyz
'x,y,z'
loop_
_atom_site_label
_atom_site_fract_x
_atom_site_fract_y
_atom_site_fract_z
Pm1 0.173 0.000 0.377
Pm2 0.265 0.000 0.938
Pm3 0.735 0.000 0.062
Pm4 0.827 0.000 0.623
Al1 0.060 0.500 0.128
Al2 0.940 0.500 0.872
In1 0.182 0.500 0.663
In2 0.435 0.500 0.196
In3 0.500 0.500 0.500
In4 0.565 0.500 0.804
In5 0.818 0.500 0.337
```

Output
**Symmetry**: P2/m
**Energy relative to the elements**: -426 meV/atom

Copy entry 2 word for word.
Material: Pm4Al2In5
Method: DFT, GGA-PBE
State: relaxed

The structure in CIF format:
```
data_Pm4Al2In5
_cell_length_a 7.910
_cell_length_b 3.648
_cell_length_c 10.088
_cell_angle_alpha 90.00
_cell_angle_beta 94.28
_cell_angle_gamma 90.00
_symmetry_space_group_name_H-M 'P 1'
_symmetry_Int_Tables_number 1
loop_
_symmetry_equiv_pos_as_xyz
'x,y,z'
loop_
_atom_site_label
_atom_site_fract_x
_atom_site_fract_y
_atom_site_fract_z
Pm1 0.173 0.000 0.377
Pm2 0.265 0.000 0.938
Pm3 0.735 0.000 0.062
Pm4 0.827 0.000 0.623
Al1 0.060 0.500 0.128
Al2 0.940 0.500 0.872
In1 0.182 0.500 0.663
In2 0.435 0.500 0.196
In3 0.500 0.500 0.500
In4 0.565 0.500 0.804
In5 0.818 0.500 0.337
```

Output
**Symmetry**: P2/m
**Energy relative to the elements**: -426 meV/atom